# 1
A plane-wave DFT calculation with PBE was carried out for an optimized crystal structure of Ac2ZnSiPt6.

Computed properties:
Formation energy without anion corrections = -0.924 eV per atom
SG = No. 12
N(E_F) = 3.55 states/eV/f.u.

abc: 5.6130 8.2879 6.8952
angles: 50.72 65.99 90.00
Closest atoms and distances in Å follow each position.
Sites, in units of the cell vectors:
Ac  0.7389  0.2801  0.5225  9 Pt 3.16-3.51
Ac  0.2611  0.7199  0.4775  9 Pt 3.16-3.51
Zn  0.0000  0.0000  0.0000  6 Pt 2.57-2.60
Si  0.5000  0.5000  0.0000  6 Pt 2.41-2.48
Pt  0.2501  0.1175  0.5000  1 Si 2.48, 1 Zn 2.57, 2 Pt 2.77
Pt  0.7642  0.7444  0.9812  1 Si 2.41, 1 Zn 2.60
Pt  0.2548  0.7444  0.9814  1 Si 2.41, 1 Zn 2.60
Pt  0.7452  0.2556  0.0187  1 Si 2.41, 1 Zn 2.60
Pt  0.2358  0.2556  0.0188  1 Si 2.41, 1 Zn 2.60
Pt  0.7499  0.8825  0.5000  1 Si 2.48, 1 Zn 2.57, 2 Pt 2.77

=====

# 2
A plane-wave DFT calculation with PBE was carried out for an optimized crystal structure of Ac2Zn4Si3Pt.

Computed properties:
Formation energy without anion corrections = -0.485 eV per atom
SG = No. 115
N(E_F) = 4.61 states/eV/f.u.

abc: 4.3523 4.3523 10.5661
angles: 90.00 90.00 90.00
Closest atoms and distances in Å follow each position.
Sites, in units of the cell vectors:
Ac  0.5000  0.0000  0.2525  8 Zn 3.32-3.44, 6 Si 3.33-3.40, 2 Pt 3.40
Ac  0.0000  0.5000  0.7475  8 Zn 3.32-3.44, 6 Si 3.33-3.40, 2 Pt 3.40
Zn  0.5000  0.5000  0.0000  4 Si 2.59
Zn  0.0000  0.0000  0.0000  4 Si 2.59
Zn  0.5000  0.0000  0.6295  3 Si 2.51-2.57, 2 Pt 2.57
Zn  0.0000  0.5000  0.3705  3 Si 2.51-2.57, 2 Pt 2.57
Si  0.0000  0.0000  0.5000  4 Zn 2.57
Si  0.5000  0.0000  0.8671  5 Zn 2.51-2.59
Si  0.0000  0.5000  0.1329  5 Zn 2.51-2.59
Pt  0.5000  0.5000  0.5000  4 Zn 2.57

=====

# 3
A plane-wave DFT calculation with PBE was carried out for an optimized crystal structure of AcZnSi2Pt2.

Computed properties:
Formation energy without anion corrections = -0.800 eV per atom
SG = No. 164
N(E_F) = 1.88 states/eV/f.u.

abc: 4.2642 4.2642 7.3084
angles: 90.00 90.00 120.00
Closest atoms and distances in Å follow each position.
Sites, in units of the cell vectors:
Ac  0.0000  0.0000  0.0000  6 Si 3.29, 6 Pt 3.47, 2 Zn 3.65
Zn  0.0000  0.0000  0.5000  6 Pt 2.74, 6 Si 2.87
Si  0.6667  0.3333  0.2980  4 Pt 2.48-2.68
Si  0.3333  0.6667  0.7020  4 Pt 2.48-2.68
Pt  0.6667  0.3333  0.6647  4 Si 2.48-2.68, 3 Zn 2.74
Pt  0.3333  0.6667  0.3352  4 Si 2.48-2.68, 3 Zn 2.74

=====

# 4
A plane-wave DFT calculation with PBE was carried out for an optimized crystal structure of AcZnSiPt2.

Computed properties:
Formation energy without anion corrections = -0.897 eV per atom
SG = No. 119
N(E_F) = 3.76 states/eV/f.u.

abc: 4.4167 4.4167 6.0599
angles: 111.37 111.37 90.00
Closest atoms and distances in Å follow each position.
Sites, in units of the cell vectors:
Ac  0.0000  0.0000  0.0000  4 Zn 3.41, 4 Si 3.41, 10 Pt 3.42-3.80
Zn  0.7500  0.2500  0.5000  4 Pt 2.51
Si  0.2500  0.7500  0.5000  4 Pt 2.51
Pt  0.6344  0.6344  0.2688  2 Si 2.51, 2 Zn 2.51, 1 Pt 2.79
Pt  0.3656  0.3656  0.7312  2 Si 2.51, 2 Zn 2.51, 1 Pt 2.79

=====

# 5
A plane-wave DFT calculation with PBE was carried out for an optimized crystal structure of AcZnSi2Pt.

Computed properties:
Formation energy without anion corrections = -0.750 eV per atom
SG = No. 119
N(E_F) = 1.18 states/eV/f.u.

abc: 4.3222 4.3222 6.0185
angles: 111.04 111.04 90.00
Closest atoms and distances in Å follow each position.
Sites, in units of the cell vectors:
Ac  0.0000  0.0000  0.0000  8 Si 3.30, 4 Pt 3.38, 4 Zn 3.38
Zn  0.7500  0.2500  0.5000  4 Si 2.54
Si  0.6212  0.6212  0.2425  1 Si 2.51, 2 Pt 2.54, 2 Zn 2.54
Si  0.3788  0.3788  0.7575  1 Si 2.51, 2 Pt 2.54, 2 Zn 2.54
Pt  0.2500  0.7500  0.5000  4 Si 2.54

=====

# 6
A plane-wave DFT calculation with PBE was carried out for an optimized crystal structure of Ac3Zn2Si2Pt4.

Computed properties:
Formation energy without anion corrections = -0.884 eV per atom
SG = No. 164
N(E_F) = 6.29 states/eV/f.u.

abc: 4.3007 4.3007 16.1493
angles: 90.00 90.00 120.00
Closest atoms and distances in Å follow each position.
Sites, in units of the cell vectors:
Ac  0.0000  0.0000  0.7195  6 Pt 3.11-3.32, 3 Si 3.41
Ac  0.0000  0.0000  0.0000  6 Si 3.32, 6 Pt 3.40
Ac  0.0000  0.0000  0.2805  6 Pt 3.11-3.32, 3 Si 3.41
Zn  0.6667  0.3333  0.4426  4 Pt 2.59-2.60
Zn  0.3333  0.6667  0.5574  4 Pt 2.59-2.60
Si  0.6667  0.3333  0.8638  3 Pt 2.49
Si  0.3333  0.6667  0.1362  3 Pt 2.49
Pt  0.6667  0.3333  0.1440  3 Si 2.49
Pt  0.3333  0.6667  0.8560  3 Si 2.49
Pt  0.6667  0.3333  0.6039  4 Zn 2.59-2.60
Pt  0.3333  0.6667  0.3961  4 Zn 2.59-2.60

=====

# 7
A plane-wave DFT calculation with PBE was carried out for an optimized crystal structure of Ac3Zn2SiPt6.

Computed properties:
Formation energy without anion corrections = -0.820 eV per atom
SG = No. 164
N(E_F) = 5.76 states/eV/f.u.

abc: 5.9436 5.9436 8.8945
angles: 90.00 90.00 120.00
Closest atoms and distances in Å follow each position.
Sites, in units of the cell vectors:
Ac  0.3333  0.6667  0.6332  6 Pt 3.03
Ac  0.6667  0.3333  0.3668  6 Pt 3.03
Ac  0.0000  0.0000  0.0000  6 Pt 3.20, 6 Zn 3.48
Zn  0.6667  0.3333  0.9338  3 Pt 2.67
Zn  0.3333  0.6667  0.0662  3 Pt 2.67
Si  0.0000  0.0000  0.5000  6 Pt 2.50
Pt  0.6584  0.8292  0.3002  1 Si 2.50, 1 Zn 2.67
Pt  0.1708  0.3416  0.3002  1 Si 2.50, 1 Zn 2.67
Pt  0.1708  0.8292  0.3002  1 Si 2.50, 1 Zn 2.67
Pt  0.8292  0.6584  0.6998  1 Si 2.50, 1 Zn 2.67
Pt  0.3416  0.1708  0.6998  1 Si 2.50, 1 Zn 2.67
Pt  0.8292  0.1708  0.6998  1 Si 2.50, 1 Zn 2.67

=====

# 8
A plane-wave DFT calculation with PBE was carried out for an optimized crystal structure of Ac2Zn2SiPt4.

Computed properties:
Formation energy without anion corrections = -0.778 eV per atom
SG = No. 139
N(E_F) = 4.56 states/eV/f.u.

abc: 6.3525 6.3525 6.3525
angles: 96.79 116.16 116.16
Closest atoms and distances in Å follow each position.
Sites, in units of the cell vectors:
Ac  0.5000  0.7500  0.2500  8 Pt 3.18, 4 Zn 3.44
Ac  0.5000  0.2500  0.7500  8 Pt 3.18, 4 Zn 3.44
Zn  0.0000  0.6642  0.6642  4 Pt 2.70, 1 Zn 2.77, 1 Si 2.83
Zn  0.0000  0.3358  0.3358  4 Pt 2.70, 1 Zn 2.77, 1 Si 2.83
Si  0.0000  0.0000  0.0000  4 Pt 2.43
Pt  0.0000  0.7438  0.2562  1 Si 2.43, 2 Zn 2.70
Pt  0.4876  0.7438  0.7438  1 Si 2.43, 2 Zn 2.70
Pt  0.0000  0.2562  0.7438  1 Si 2.43, 2 Zn 2.70
Pt  0.5124  0.2562  0.2562  1 Si 2.43, 2 Zn 2.70

=====

# 9
A plane-wave DFT calculation with PBE was carried out for an optimized crystal structure of Ac2Zn3SiPt4.

Computed properties:
Formation energy without anion corrections = -0.849 eV per atom
SG = No. 115
N(E_F) = 7.07 states/eV/f.u.

abc: 4.5355 4.5355 9.8936
angles: 90.00 90.00 90.00
Closest atoms and distances in Å follow each position.
Sites, in units of the cell vectors:
Ac  0.5000  0.0000  0.2428  9 Pt 3.30-3.66, 7 Zn 3.40-3.66, 2 Si 3.41
Ac  0.0000  0.5000  0.7572  9 Pt 3.30-3.66, 7 Zn 3.40-3.66, 2 Si 3.41
Zn  0.0000  0.0000  0.5000  4 Pt 2.53
Zn  0.5000  0.0000  0.8726  5 Pt 2.57-2.59
Zn  0.0000  0.5000  0.1274  5 Pt 2.57-2.59
Si  0.5000  0.5000  0.5000  4 Pt 2.53
Pt  0.5000  0.5000  0.0000  4 Zn 2.59
Pt  0.0000  0.0000  0.0000  4 Zn 2.59
Pt  0.5000  0.0000  0.6124  2 Si 2.53, 3 Zn 2.53-2.57
Pt  0.0000  0.5000  0.3876  2 Si 2.53, 3 Zn 2.53-2.57

=====

# 10
A plane-wave DFT calculation with PBE was carried out for an optimized crystal structure of Ac3ZnSi2Pt9.

Computed properties:
Formation energy without anion corrections = -0.830 eV per atom
SG = No. 164
N(E_F) = 4.54 states/eV/f.u.

abc: 5.9311 5.9311 10.5810
angles: 90.00 90.00 120.00
Closest atoms and distances in Å follow each position.
Sites, in units of the cell vectors:
Ac  0.3333  0.6667  0.6047  6 Pt 3.10
Ac  0.0000  0.0000  0.0000  6 Pt 2.97
Ac  0.6667  0.3333  0.3953  6 Pt 3.10
Zn  0.0000  0.0000  0.5000  6 Pt 2.60
Si  0.3333  0.6667  0.1623  6 Pt 2.37-2.43
Si  0.6667  0.3333  0.8377  6 Pt 2.37-2.43
Pt  0.8405  0.1595  0.6908  1 Si 2.37, 1 Zn 2.60
Pt  0.8405  0.6810  0.6908  1 Si 2.37, 1 Zn 2.60
Pt  0.3190  0.1595  0.6908  1 Si 2.37, 1 Zn 2.60
Pt  0.6810  0.8405  0.3092  1 Si 2.37, 1 Zn 2.60
Pt  0.1595  0.3190  0.3092  1 Si 2.37, 1 Zn 2.60
Pt  0.1595  0.8405  0.3092  1 Si 2.37, 1 Zn 2.60
Pt  0.5000  0.0000  0.0000  2 Si 2.43
Pt  0.0000  0.5000  0.0000  2 Si 2.43
Pt  0.5000  0.5000  0.0000  2 Si 2.43

=====

# 11
A plane-wave DFT calculation with PBE was carried out for an optimized crystal structure of Ac2ZrSi3Pt12.

Computed properties:
Formation energy without anion corrections = -0.565 eV per atom
SG = No. 166
N(E_F) = 7.83 states/eV/f.u.

abc: 7.9762 7.9762 7.9762
angles: 62.58 62.58 62.58
Closest atoms and distances in Å follow each position.
Sites, in units of the cell vectors:
Ac  0.6066  0.6066  0.6066  6 Pt 3.02-3.04
Ac  0.3934  0.3934  0.3934  6 Pt 3.02-3.04
Zr  0.0000  0.0000  0.0000  6 Pt 2.62
Si  0.5000  0.0000  0.0000  6 Pt 2.35-2.36
Si  0.0000  0.5000  0.0000  6 Pt 2.35-2.36
Si  0.0000  0.0000  0.5000  6 Pt 2.35-2.36
Pt  0.3467  0.3467  0.9004  2 Si 2.35
Pt  0.8704  0.8704  0.3891  1 Si 2.36, 1 Zr 2.62
Pt  0.3891  0.8704  0.8704  1 Si 2.36, 1 Zr 2.62
Pt  0.9004  0.3467  0.3467  2 Si 2.35
Pt  0.8704  0.3891  0.8704  1 Si 2.36, 1 Zr 2.62
Pt  0.3467  0.9004  0.3467  2 Si 2.35
Pt  0.6533  0.6533  0.0996  2 Si 2.35
Pt  0.1296  0.1296  0.6109  1 Si 2.36, 1 Zr 2.62
Pt  0.6109  0.1296  0.1296  1 Si 2.36, 1 Zr 2.62
Pt  0.0996  0.6533  0.6533  2 Si 2.35
Pt  0.1296  0.6109  0.1296  1 Si 2.36, 1 Zr 2.62
Pt  0.6533  0.0996  0.6533  2 Si 2.35

=====

# 12
A plane-wave DFT calculation with PBE was carried out for an optimized crystal structure of AcSm3Pt2.

Computed properties:
SG = No. 12
ΔH_f (0 K) = -0.704 eV/atom
N(E_F) = 5.81 states/eV/f.u.

abc: 5.0922 9.2447 8.8364
angles: 118.48 90.00 105.99
Closest atoms and distances in Å follow each position.
Sites, in units of the cell vectors:
Ac  0.8453  0.6905  0.9437  3 Pt 3.13-3.45
Ac  0.1547  0.3095  0.0563  3 Pt 3.13-3.45
Sm  0.3063  0.6126  0.6027  2 Pt 2.84-2.85
Sm  0.9449  0.8897  0.6285  3 Pt 3.01-3.04
Sm  0.6046  0.2092  0.6986  3 Pt 2.88-2.93
Sm  0.3954  0.7908  0.3014  3 Pt 2.88-2.93
Sm  0.0551  0.1103  0.3715  3 Pt 3.01-3.04
Sm  0.6937  0.3874  0.3973  2 Pt 2.84-2.85
Pt  0.4882  0.9763  0.8373  1 Pt 2.69, 4 Sm 2.85-3.01
Pt  0.5118  0.0237  0.1627  1 Pt 2.69, 4 Sm 2.85-3.01
Pt  0.8035  0.6069  0.2483  4 Sm 2.84-3.04, 1 Ac 3.13
Pt  0.1965  0.3931  0.7517  4 Sm 2.84-3.04, 1 Ac 3.13

=====

no.,DFT total energy (eV for the cell shown)
1,-60.4
2,-40.5
3,-33.1
4,-27.4
5,-26.0
6,-59.6
7,-66.4
8,-47.4
9,-50.1
10,-91.3
11,-115.7
12,-69.1